*1*
A plane-wave DFT calculation with PBE was carried out for crystalline BeCuRuF at its relaxed geometry.

Calculated values
- Space-group type: R3m, No. 160
- Magnetic moment: 0.00 μB per atom

Cell: 7.456 7.456 7.456 Å, 21.12 21.12 21.12°
Fractional coordinates of all 4 atoms:
Be 0.000 0.000 0.000
Cu 0.158 0.158 0.158
Ru 0.587 0.587 0.587
F 0.067 0.067 0.067

*2*
A plane-wave DFT calculation with PBE was carried out for crystalline BeCuRuF at its relaxed geometry.

Calculated values
- Space-group type: Amm2, No. 38
- Magnetic moment: 0.00 μB per atom

Cell: 2.738 7.338 7.338 Å, 19.32 90.00 90.00°
Fractional coordinates of all 4 atoms:
Be 0.000 0.000 0.000
Cu 0.000 0.747 0.747
Ru 0.500 0.378 0.378
F 0.000 0.573 0.573

*3*
A plane-wave DFT calculation with PBE was carried out for crystalline BeCuRuF at its relaxed geometry.

Calculated values
- Space-group type: Cm, No. 8
- Magnetic moment: 0.00 μB per atom

Cell: 2.729 2.729 8.365 Å, 92.59 92.59 55.47°
Fractional coordinates of all 4 atoms:
Be 0.000 0.000 0.000
Cu 0.564 0.564 0.512
Ru 0.266 0.266 0.770
F 0.523 0.523 0.116

Stability check: which of them is least stable? *2*.